Below is a geometry-optimized RbAg2O structure, with properties calculated at the PBE level.

Lattice parameters (Å, degrees): 6.033 6.033 7.685 66.89 66.89 90.00
Positions (direct):
O1 0.500 0.500 0.000
O2 0.250 0.750 0.500
Rb1 0.000 0.000 0.000
Rb2 0.750 0.250 0.500
Ag1 0.375 0.125 0.250
Ag2 0.375 0.625 0.250
Ag3 0.375 0.625 0.750
Ag4 0.875 0.625 0.750

The density of states at the Fermi level comes out at 0.33 states/eV per cell. The formation energy without anion corrections comes out at -61 kJ/mol of formula units. As for the space-group type: No. 141. The total energy comes out at -12.26 eV/f.u. The value obtained for the spin magnetization is 0.00 μB per cell.